P2ClF | PBE-GGA | optimized geometry

Output
E_form (uncorrected), eV per atom: 0.63
Offset from the most stable computed form, eV/atom: 0.678
Total magnetization, μB per formula unit: 0.00

Structure (CIF):
```
data_P2ClF
_chemical_formula_sum 'P8 Cl4 F4'
_symmetry_space_group_name_H-M 'F m -3 m'
_symmetry_Int_Tables_number 225
_symmetry_space_group_name_Hall '-F 4 2 3'
_cell_length_a 6.228
_cell_length_b 6.228
_cell_length_c 6.228
_cell_angle_alpha 90.00
_cell_angle_beta 90.00
_cell_angle_gamma 90.00
loop_
_atom_site_label
_atom_site_type_symbol
_atom_site_fract_x
_atom_site_fract_y
_atom_site_fract_z
P1 P 0.250 0.250 0.250
Cl1 Cl 0.000 0.000 0.000
F1 F 0.000 0.000 0.500
```